Record 1
# HIrRu2 PBE-GGA optimized geometry
data_HIrRu2
_cell_length_a 2.7673
_cell_length_b 2.7673
_cell_length_c 20.1123
_cell_angle_alpha 90.00
_cell_angle_beta 90.00
_cell_angle_gamma 120.00
_space_group_name_H-M_alt 'R 3 m'
_space_group_IT_number 160
_space_group_name_Hall 'R 3 -2"'
loop_
_atom_site_label
_atom_site_type_symbol
_atom_site_fract_x
_atom_site_fract_y
_atom_site_fract_z
H1 H 0.0000 0.0000 0.0000
Ir1 Ir 0.0000 0.0000 0.8346
Ru1 Ru 0.0000 0.0000 0.3926
Ru2 Ru 0.0000 0.0000 0.6103
# crystal system: trigonal
# energy above the most stable polymorph in this dataset: 0.0012 eV per atom

=====

Record 2
# HIrRu PBE-GGA optimized geometry
data_HIrRu
_cell_length_a 4.7969
_cell_length_b 4.3849
_cell_length_c 6.0201
_cell_angle_alpha 90.00
_cell_angle_beta 90.00
_cell_angle_gamma 90.00
_space_group_name_H-M_alt 'P n m a'
_space_group_IT_number 62
loop_
_space_group_symop_operation_xyz
'x,y,z'
'-x,-y,-z'
'-x+1/2,-y,z+1/2'
'x+1/2,y,-z+1/2'
'x+1/2,-y+1/2,-z+1/2'
'-x+1/2,y+1/2,z+1/2'
'-x,y+1/2,-z'
'x,-y+1/2,z'
loop_
_atom_site_label
_atom_site_type_symbol
_atom_site_fract_x
_atom_site_fract_y
_atom_site_fract_z
H1 H 0.2096 0.2500 0.1271
Ir1 Ir 0.0751 0.2500 0.8540
Ru1 Ru 0.0830 0.2500 0.3986
# crystal system: orthorhombic
# energy above the most stable polymorph in this dataset: 0.0000 eV per atom

=====

Record 3
# ScHIr2Ru PBE-GGA optimized geometry
data_ScHIr2Ru
_cell_length_a 3.9849
_cell_length_b 3.9849
_cell_length_c 4.0051
_cell_angle_alpha 90.00
_cell_angle_beta 90.00
_cell_angle_gamma 90.00
_space_group_name_H-M_alt 'P 4/m m m'
_space_group_IT_number 123
_space_group_name_Hall '-P 4 2'
loop_
_atom_site_label
_atom_site_type_symbol
_atom_site_fract_x
_atom_site_fract_y
_atom_site_fract_z
Sc1 Sc 0.0000 0.0000 0.0000
H1 H 0.5000 0.5000 0.5000
Ir1 Ir 0.0000 0.5000 0.5000
Ru1 Ru 0.5000 0.5000 0.0000
# crystal system: tetragonal

=====

Record 4
# Sc2HIrRu PBE-GGA optimized geometry
data_Sc2HIrRu
_cell_length_a 4.5264
_cell_length_b 4.5264
_cell_length_c 3.4171
_cell_angle_alpha 90.00
_cell_angle_beta 90.00
_cell_angle_gamma 90.00
_space_group_name_H-M_alt 'P 4/m m m'
_space_group_IT_number 123
_space_group_name_Hall '-P 4 2'
loop_
_atom_site_label
_atom_site_type_symbol
_atom_site_fract_x
_atom_site_fract_y
_atom_site_fract_z
Sc1 Sc 0.0000 0.5000 0.0000
H1 H 0.0000 0.0000 0.0000
Ir1 Ir 0.5000 0.5000 0.5000
Ru1 Ru 0.0000 0.0000 0.5000
# crystal system: tetragonal
# energy above the most stable polymorph in this dataset: 0.0000 eV per atom

=====

Record 5
# Sc2HIrRu PBE-GGA optimized geometry
data_Sc2HIrRu
_cell_length_a 4.5247
_cell_length_b 4.5247
_cell_length_c 3.4454
_cell_angle_alpha 90.00
_cell_angle_beta 90.00
_cell_angle_gamma 90.00
_space_group_name_H-M_alt 'P 4/m m m'
_space_group_IT_number 123
_space_group_name_Hall '-P 4 2'
loop_
_atom_site_label
_atom_site_type_symbol
_atom_site_fract_x
_atom_site_fract_y
_atom_site_fract_z
Sc1 Sc 0.0000 0.5000 0.0000
H1 H 0.0000 0.0000 0.0000
Ir1 Ir 0.0000 0.0000 0.5000
Ru1 Ru 0.5000 0.5000 0.5000
# crystal system: tetragonal
# energy above the most stable polymorph in this dataset: 0.0511 eV per atom

=====

Record 6
# ScHIrRu2 PBE-GGA optimized geometry
data_ScHIrRu2
_cell_length_a 3.9069
_cell_length_b 3.9069
_cell_length_c 4.1170
_cell_angle_alpha 90.00
_cell_angle_beta 90.00
_cell_angle_gamma 90.00
_space_group_name_H-M_alt 'P 4/m m m'
_space_group_IT_number 123
_space_group_name_Hall '-P 4 2'
loop_
_atom_site_label
_atom_site_type_symbol
_atom_site_fract_x
_atom_site_fract_y
_atom_site_fract_z
Sc1 Sc 0.0000 0.0000 0.0000
H1 H 0.0000 0.0000 0.5000
Ir1 Ir 0.5000 0.5000 0.0000
Ru1 Ru 0.0000 0.5000 0.5000
# crystal system: tetragonal
# energy above the most stable polymorph in this dataset: 0.0000 eV per atom

=====

Record 7
# ScHIrRu2 PBE-GGA optimized geometry
data_ScHIrRu2
_cell_length_a 3.9678
_cell_length_b 3.9678
_cell_length_c 4.0157
_cell_angle_alpha 90.00
_cell_angle_beta 90.00
_cell_angle_gamma 90.00
_space_group_name_H-M_alt 'P 4/m m m'
_space_group_IT_number 123
_space_group_name_Hall '-P 4 2'
loop_
_atom_site_label
_atom_site_type_symbol
_atom_site_fract_x
_atom_site_fract_y
_atom_site_fract_z
Sc1 Sc 0.0000 0.0000 0.0000
H1 H 0.5000 0.5000 0.5000
Ir1 Ir 0.5000 0.5000 0.0000
Ru1 Ru 0.0000 0.5000 0.5000
# crystal system: tetragonal
# energy above the most stable polymorph in this dataset: 0.0333 eV per atom

=====

Record 8
# SnHIrRu2 PBE-GGA optimized geometry
data_SnHIrRu2
_cell_length_a 4.0418
_cell_length_b 4.0418
_cell_length_c 3.9488
_cell_angle_alpha 90.00
_cell_angle_beta 90.00
_cell_angle_gamma 90.00
_space_group_name_H-M_alt 'P 4/m m m'
_space_group_IT_number 123
_space_group_name_Hall '-P 4 2'
loop_
_atom_site_label
_atom_site_type_symbol
_atom_site_fract_x
_atom_site_fract_y
_atom_site_fract_z
Sn1 Sn 0.0000 0.0000 0.0000
H1 H 0.5000 0.5000 0.5000
Ir1 Ir 0.5000 0.5000 0.0000
Ru1 Ru 0.0000 0.5000 0.5000
# crystal system: tetragonal

=====

Record 9
# TaHIrRu2 PBE-GGA optimized geometry
data_TaHIrRu2
_cell_length_a 4.8102
_cell_length_b 4.8102
_cell_length_c 3.1557
_cell_angle_alpha 90.00
_cell_angle_beta 90.00
_cell_angle_gamma 90.00
_space_group_name_H-M_alt 'P 4/m m m'
_space_group_IT_number 123
_space_group_name_Hall '-P 4 2'
loop_
_atom_site_label
_atom_site_type_symbol
_atom_site_fract_x
_atom_site_fract_y
_atom_site_fract_z
Ta1 Ta 0.0000 0.0000 0.0000
H1 H 0.0000 0.0000 0.5000
Ir1 Ir 0.5000 0.5000 0.5000
Ru1 Ru 0.0000 0.5000 0.0000
# crystal system: tetragonal
# energy above the most stable polymorph in this dataset: 1.2936 eV per atom

=====

Record 10
# TaHIr2Ru PBE-GGA optimized geometry
data_TaHIr2Ru
_cell_length_a 3.9397
_cell_length_b 3.9397
_cell_length_c 4.0059
_cell_angle_alpha 90.00
_cell_angle_beta 90.00
_cell_angle_gamma 90.00
_space_group_name_H-M_alt 'P 4/m m m'
_space_group_IT_number 123
_space_group_name_Hall '-P 4 2'
loop_
_atom_site_label
_atom_site_type_symbol
_atom_site_fract_x
_atom_site_fract_y
_atom_site_fract_z
Ta1 Ta 0.0000 0.0000 0.0000
H1 H 0.5000 0.5000 0.5000
Ir1 Ir 0.0000 0.5000 0.5000
Ru1 Ru 0.5000 0.5000 0.0000
# crystal system: tetragonal
# energy above the most stable polymorph in this dataset: 0.0000 eV per atom

=====

Record 11
# Ta2HIrRu PBE-GGA optimized geometry
data_Ta2HIrRu
_cell_length_a 4.1745
_cell_length_b 4.1745
_cell_length_c 3.7982
_cell_angle_alpha 90.00
_cell_angle_beta 90.00
_cell_angle_gamma 90.00
_space_group_name_H-M_alt 'P 4/m m m'
_space_group_IT_number 123
_space_group_name_Hall '-P 4 2'
loop_
_atom_site_label
_atom_site_type_symbol
_atom_site_fract_x
_atom_site_fract_y
_atom_site_fract_z
Ta1 Ta 0.0000 0.5000 0.0000
H1 H 0.0000 0.0000 0.0000
Ir1 Ir 0.5000 0.5000 0.5000
Ru1 Ru 0.0000 0.0000 0.5000
# crystal system: tetragonal
# energy above the most stable polymorph in this dataset: 0.0000 eV per atom

=====

Record 12
# TaHIrRu2 PBE-GGA optimized geometry
data_TaHIrRu2
_cell_length_a 3.9608
_cell_length_b 3.9608
_cell_length_c 3.9290
_cell_angle_alpha 90.00
_cell_angle_beta 90.00
_cell_angle_gamma 90.00
_space_group_name_H-M_alt 'P 4/m m m'
_space_group_IT_number 123
_space_group_name_Hall '-P 4 2'
loop_
_atom_site_label
_atom_site_type_symbol
_atom_site_fract_x
_atom_site_fract_y
_atom_site_fract_z
Ta1 Ta 0.0000 0.0000 0.0000
H1 H 0.5000 0.5000 0.5000
Ir1 Ir 0.5000 0.5000 0.0000
Ru1 Ru 0.0000 0.5000 0.5000
# crystal system: tetragonal
# energy above the most stable polymorph in this dataset: 0.0000 eV per atom

=====

Calculated uncorrected energy (eV for the cell shown), listed in the same order as above: -91.432, -83.128, -38.411, -37.728, -37.472, -38.463, -38.296, -34.290, -37.835, -44.224, -46.905, -44.303